{
  "formula": "Ba3Li2Tl6Sn",
  "functional": "PBE",
  "state": "optimized geometry",
  "lattice_angstrom": [[6.452, 0.000, 0.000], [-3.226, 5.588, 0.000], [0.000, 0.000, 11.562]],
  "species": ["Ba", "Ba", "Ba", "Li", "Li", "Tl", "Tl", "Tl", "Tl", "Tl", "Tl", "Sn"],
  "frac_coords": [[0.000, 0.000, 0.000], [0.333, 0.667, 0.567], [0.667, 0.333, 0.433], [0.333, 0.667, 0.872], [0.667, 0.333, 0.128], [0.170, 0.340, 0.256], [0.170, 0.830, 0.256], [0.340, 0.170, 0.744], [0.660, 0.830, 0.256], [0.830, 0.170, 0.744], [0.830, 0.660, 0.744], [0.000, 0.000, 0.500]],
  "volume_a3_per_atom": 34.74,
  "magmom_total_mub_per_cell": 0.0,
  "e_form_ev_per_atom": -0.209
}



{
  "formula": "La2NdCo6",
  "functional": "PBE",
  "state": "optimized geometry",
  "lattice_angstrom": [[6.802, 0.000, 0.000], [-3.401, 5.891, 0.000], [0.000, 0.000, 4.263]],
  "species": ["La", "La", "Nd", "Co", "Co", "Co", "Co", "Co", "Co"],
  "frac_coords": [[0.333, 0.667, 0.000], [0.667, 0.333, 0.000], [0.000, 0.000, 0.000], [0.000, 0.333, 0.500], [0.000, 0.667, 0.500], [0.333, 0.000, 0.500], [0.333, 0.333, 0.500], [0.667, 0.000, 0.500], [0.667, 0.667, 0.500]],
  "volume_a3_per_atom": 18.98,
  "magmom_total_mub_per_cell": 4.3,
  "e_form_ev_per_atom": -0.067
}



{
  "formula": "Li4In5Ga2",
  "functional": "PBE",
  "state": "optimized geometry",
  "lattice_angstrom": [[7.646, 0.000, 0.000], [0.000, 3.149, 0.000], [-0.876, 0.000, 9.367]],
  "species": ["Li", "Li", "Li", "Li", "In", "In", "In", "In", "In", "Ga", "Ga"],
  "frac_coords": [[0.198, 0.000, 0.365], [0.244, 0.000, 0.929], [0.756, 0.000, 0.071], [0.802, 0.000, 0.635], [0.148, 0.500, 0.640], [0.454, 0.500, 0.173], [0.500, 0.500, 0.500], [0.546, 0.500, 0.827], [0.852, 0.500, 0.360], [0.074, 0.500, 0.130], [0.926, 0.500, 0.870]],
  "volume_a3_per_atom": 20.50,
  "magmom_total_mub_per_cell": 0.0,
  "e_form_ev_per_atom": -0.204
}



{
  "formula": "LaGaP2",
  "functional": "PBE",
  "state": "optimized geometry",
  "lattice_angstrom": [[-3.485, 3.485, 3.813], [3.485, -3.485, 3.813], [3.485, 3.485, -3.813]],
  "species": ["La", "La", "Ga", "Ga", "P", "P", "P", "P"],
  "frac_coords": [[0.000, 0.000, 0.000], [0.750, 0.250, 0.500], [0.250, 0.750, 0.500], [0.500, 0.500, 0.000], [0.189, 0.625, 0.064], [0.375, 0.439, 0.564], [0.561, 0.125, 0.936], [0.875, 0.811, 0.436]],
  "volume_a3_per_atom": 23.16,
  "magmom_total_mub_per_cell": 0.0,
  "e_form_ev_per_atom": -0.777
}



{
  "formula": "Cs2CuI6O",
  "functional": "PBE",
  "state": "optimized geometry",
  "lattice_angstrom": [[-3.873, 3.873, 6.258], [3.873, -3.873, 6.258], [3.873, 3.873, -6.258]],
  "species": ["Cs", "Cs", "Cu", "I", "I", "I", "I", "I", "I", "O"],
  "frac_coords": [[0.250, 0.750, 0.500], [0.750, 0.250, 0.500], [0.000, 0.000, 0.000], [0.202, 0.202, 0.000], [0.276, 0.276, 0.551], [0.276, 0.724, 0.000], [0.724, 0.276, 0.000], [0.724, 0.724, 0.449], [0.798, 0.798, 0.000], [0.500, 0.500, 0.000]],
  "volume_a3_per_atom": 37.55,
  "raw_formation_energy_ev_per_atom": -0.505,
  "magmom_total_mub_per_cell": 0.0
}



{
  "formula": "AgHg4Pb3",
  "functional": "PBE",
  "state": "optimized geometry",
  "lattice_angstrom": [[3.410, 0.000, 0.000], [0.000, 3.410, 0.000], [0.000, 0.000, 18.010]],
  "species": ["Ag", "Hg", "Hg", "Hg", "Hg", "Pb", "Pb", "Pb"],
  "frac_coords": [[0.000, 0.000, 0.000], [0.500, 0.500, 0.100], [0.500, 0.500, 0.365], [0.500, 0.500, 0.635], [0.500, 0.500, 0.900], [0.000, 0.000, 0.232], [0.000, 0.000, 0.500], [0.000, 0.000, 0.768]],
  "volume_a3_per_atom": 26.18,
  "magmom_total_mub_per_cell": 0.0,
  "e_form_ev_per_atom": 0.060
}